A plane-wave DFT calculation with PBE was carried out for PaIn5Ni after structural relaxation.

Cell lengths 4.642, 4.642, 7.477 Å; angles 90.00, 90.00, 90.00 degrees
Space group P4/mmm (No. 123)
Inequivalent atoms, fractional coordinates:
Pa  0.000  0.000  0.000 [1 per cell]
In  0.000  0.500  0.304 [4 per cell]
In  0.500  0.500  0.000 [1 per cell]
Ni  0.000  0.000  0.500 [1 per cell]

Calculated values
ΔE_f	-153	meV per atom